4
Lattice="5.440 0.002 -0.004 2.701 4.722 0.004 -3.462 -3.411 2.444" Properties=species:S:1:pos:R:3 comment="Re2IrBr, optimized geometry, DFT GGA-PBE" sg=Immm relative_energy_ev_per_fu=2.36 density_g_cm3=17.041 e_form_raw_kj_per_mol_atoms=107.71 pbc="T T T"
Re 8.044 4.667 0.000
Re 4.168 2.418 0.000
Ir 1.655 1.836 1.224
Br 3.024 -0.524 1.220


8
Lattice="-1.400 3.780 1.055 -3.053 -2.711 5.662 6.848 2.054 1.727" Properties=species:S:1:pos:R:3 comment="Na2CeMgSe4, optimized geometry, DFT GGA-PBE" sg=P2/m density_g_cm3=4.320 e_form_raw_kj_per_mol_atoms=-133.45 pbc="T T T"
Na 2.724 2.917 1.391
Na 1.898 -0.329 3.694
Ce -2.226 0.534 3.359
Mg 0.000 0.000 0.000
Se 0.091 1.707 2.231
Se 2.305 1.415 6.213
Se 4.495 0.893 2.762
Se -0.700 -1.551 4.626


11
Lattice="-3.303 -3.620 1.823 -0.320 -7.383 -3.211 5.144 -6.058 3.305" Properties=species:S:1:pos:R:3 comment="Cd8InHg2, optimized geometry, DFT GGA-PBE" sg=C2/m relative_energy_ev_per_fu=0.62 density_g_cm3=8.590 pbc="T T T"
Cd -1.538 -5.191 2.046
Cd 1.007 -10.089 2.945
Cd -1.163 -4.228 -0.781
Cd 0.251 -10.184 -0.241
Cd 1.269 -6.876 2.159
Cd -2.460 -6.775 -0.607
Cd 0.513 -6.971 -1.028
Cd 3.059 -11.870 -0.128
In -1.652 -1.810 0.912
Hg 1.818 -4.574 0.226
Hg 3.006 -8.867 -0.131